A plane-wave DFT calculation with PBE was carried out for a relaxed structure of BeNb2RuW.

The structure in POSCAR format:
```
BeNb2RuW
1.0
4.4155 0.0000 0.0000
0.0000 4.4155 0.0000
0.0000 0.0000 4.1172
Be Nb Ru W
1 2 1 1
Cartesian
0.0000 0.0000 0.0000
0.0000 2.2078 0.0000
2.2078 0.0000 0.0000
2.2078 2.2078 2.0586
0.0000 0.0000 2.0586
```

Results
Crystal system ... tetragonal
Magnetic moment ... 0.00 Bohr magnetons per cell
E_form ... 67 kJ per mole of atoms

A plane-wave DFT calculation with PBE was carried out for a relaxed structure of Be2NbRu5W2.

The structure in POSCAR format:
```
Be2NbRu5W2
1.0
9.4153 0.0000 0.0000
0.0000 9.4153 0.0000
0.0000 0.0000 3.0511
Be Nb Ru W
4 2 10 4
Cartesian
1.1379 3.5698 0.0000
3.5698 8.2775 0.0000
5.8455 1.1379 0.0000
8.2775 5.8455 0.0000
0.0000 0.0000 0.0000
4.7077 4.7077 0.0000
0.0000 4.7077 1.5255
0.6833 2.0029 1.5255
2.0029 8.7320 1.5255
2.7048 4.0244 1.5255
4.0244 6.7105 1.5255
4.7077 0.0000 1.5255
5.3910 2.7048 1.5255
6.7105 5.3910 1.5255
7.4125 0.6833 1.5255
8.7320 7.4125 1.5255
1.6505 6.3582 0.0000
3.0571 1.6505 0.0000
6.3582 7.7648 0.0000
7.7648 3.0571 0.0000
```

Results
Crystal system ... tetragonal
Magnetic moment ... 0.00 Bohr magnetons per cell
E_form ... -16 kJ per mole of atoms

A plane-wave DFT calculation with PBE was carried out for a relaxed structure of Be2Nb2Ru5W.

The structure in POSCAR format:
```
Be2Nb2Ru5W
1.0
9.4238 0.0000 0.0000
0.0000 9.4238 0.0000
0.0000 0.0000 3.1085
Be Nb Ru W
4 4 10 2
Cartesian
1.1423 3.5696 0.0000
3.5696 8.2816 0.0000
5.8542 1.1423 0.0000
8.2816 5.8542 0.0000
1.6360 6.3479 0.0000
3.0759 1.6360 0.0000
6.3479 7.7878 0.0000
7.7878 3.0759 0.0000
0.0000 4.7119 1.5542
0.6755 1.9777 1.5542
1.9777 8.7483 1.5542
2.7342 4.0364 1.5542
4.0364 6.6896 1.5542
4.7119 0.0000 1.5542
5.3874 2.7342 1.5542
6.6896 5.3874 1.5542
7.4461 0.6755 1.5542
8.7483 7.4461 1.5542
0.0000 0.0000 0.0000
4.7119 4.7119 0.0000
```

Results
Crystal system ... tetragonal
Magnetic moment ... 0.00 Bohr magnetons per cell
E_form ... -31 kJ per mole of atoms

> Look up the E_form of the first one.

67 kJ per mole of atoms